# 1
MnTcB3: relaxed, PBE.

extended XYZ file:
```
5
Lattice="3.948 0.000 0.000 0.000 3.948 0.000 0.000 0.000 3.948" Properties=species:S:1:pos:R:3 pbc="T T T"
Mn 0.000 0.000 0.000
Tc 1.974 1.974 1.974
B 0.000 1.974 1.974
B 1.974 0.000 1.974
B 1.974 1.974 0.000
```

Calculated values
For the formation energy, the calculation gives 1491 meV/atom. As for the density of states at the Fermi level: 8.35 states/eV/f.u. As for the space group: Pm-3m.

=====

# 2
MnTc3B2: relaxed, PBE.

extended XYZ file:
```
12
Lattice="3.806 -3.789 0.000 3.806 3.789 0.000 0.000 0.000 4.571" Properties=species:S:1:pos:R:3 pbc="T T T"
Mn 3.806 3.183 3.428
Mn 3.806 -3.183 1.143
Tc 2.535 1.919 1.143
Tc 3.806 0.651 3.428
Tc 5.076 1.919 1.143
Tc 2.535 -1.919 3.428
Tc 3.806 -0.651 1.143
Tc 5.076 -1.919 3.428
B 1.848 0.000 0.000
B 1.848 0.000 2.285
B 5.763 0.000 0.000
B 5.763 0.000 2.285
```

Calculated values
For the formation energy, the calculation gives -269 meV/atom. As for the density of states at the Fermi level: 5.02 states/eV/f.u. As for the space group: Cmcm.

=====

# 3
MnTc2B2: relaxed, PBE.

extended XYZ file:
```
10
Lattice="5.801 0.000 0.000 0.000 5.801 0.000 0.000 0.000 2.999" Properties=species:S:1:pos:R:3 pbc="T T T"
Mn 0.000 0.000 0.000
Mn 2.900 2.900 0.000
Tc 1.000 1.901 1.500
Tc 1.901 4.801 1.500
Tc 3.900 1.000 1.500
Tc 4.801 3.900 1.500
B 0.695 3.595 0.000
B 2.206 0.695 0.000
B 3.595 5.106 0.000
B 5.106 2.206 0.000
```

Calculated values
For the formation energy, the calculation gives -285 meV/atom. As for the density of states at the Fermi level: 3.66 states/eV/f.u. As for the space group: P4/mbm.

=====

# 4
MnTcB3: relaxed, PBE.

extended XYZ file:
```
5
Lattice="3.684 0.000 0.000 0.000 3.684 0.000 0.000 0.000 3.684" Properties=species:S:1:pos:R:3 pbc="T T T"
Mn 0.000 0.000 0.000
Tc 1.842 1.842 1.842
B 0.000 0.000 1.842
B 0.000 1.842 0.000
B 1.842 0.000 0.000
```

Calculated values
For the formation energy, the calculation gives 945 meV/atom. As for the density of states at the Fermi level: 4.44 states/eV/f.u. As for the space group: Pm-3m.

=====

# 5
Mn3Tc3B4: relaxed, PBE.

extended XYZ file:
```
10
Lattice="3.042 0.000 0.000 0.000 4.018 4.063 0.000 -4.018 4.063" Properties=species:S:1:pos:R:3 pbc="T T T"
Mn 0.000 0.000 0.000
Mn 1.521 -2.043 4.699
Mn 1.521 2.043 4.699
Tc 0.000 -1.409 2.657
Tc 0.000 1.409 2.657
Tc 0.000 0.000 5.321
B 1.521 0.000 1.630
B 1.521 0.000 3.610
B 1.521 -0.911 6.813
B 1.521 0.911 6.813
```

Calculated values
For the formation energy, the calculation gives -341 meV/atom. As for the density of states at the Fermi level: 6.48 states/eV/f.u. As for the space group: Amm2.

=====

# 6
MnTcB2: relaxed, PBE.

extended XYZ file:
```
16
Lattice="4.729 0.000 0.000 0.000 4.729 0.000 0.000 0.000 9.305" Properties=species:S:1:pos:R:3 pbc="T T T"
Mn 0.000 0.000 0.000
Mn 0.000 2.364 2.326
Mn 2.364 0.000 6.979
Mn 2.364 2.364 4.653
Tc 0.000 0.000 4.653
Tc 0.000 2.364 6.979
Tc 2.364 0.000 2.326
Tc 2.364 2.364 0.000
B 1.180 1.182 1.163
B 1.182 3.544 3.489
B 1.182 3.549 8.142
B 1.185 1.182 5.816
B 3.544 3.547 5.816
B 3.547 1.180 8.142
B 3.547 1.185 3.489
B 3.549 3.547 1.163
```

Calculated values
For the formation energy, the calculation gives 704 meV/atom. As for the density of states at the Fermi level: 2.01 states/eV/f.u. As for the space group: I-42d.

=====

# 7
Mn2TcB: relaxed, PBE.

extended XYZ file:
```
16
Lattice="6.465 0.000 0.000 0.000 6.465 0.000 0.000 0.000 4.361" Properties=species:S:1:pos:R:3 pbc="T T T"
Mn 1.008 1.616 0.545
Mn 1.616 4.241 1.635
Mn 1.616 5.457 3.816
Mn 2.224 1.616 2.725
Mn 4.241 4.849 2.725
Mn 4.849 1.008 3.816
Mn 4.849 2.224 1.635
Mn 5.457 4.849 0.545
Tc 0.000 0.000 2.180
Tc 0.000 3.232 3.271
Tc 3.232 0.000 1.090
Tc 3.232 3.232 0.000
B 0.000 0.000 0.000
B 0.000 3.232 1.090
B 3.232 0.000 3.271
B 3.232 3.232 2.180
```

Calculated values
For the formation energy, the calculation gives 234 meV/atom. As for the density of states at the Fermi level: 3.50 states/eV/f.u. As for the space group: I-42d.

=====

# 8
Mn5Tc4B2: relaxed, PBE.

extended XYZ file:
```
11
Lattice="6.140 0.000 0.000 0.000 2.875 0.000 -0.875 0.000 7.390" Properties=species:S:1:pos:R:3 pbc="T T T"
Mn 0.000 0.000 0.000
Mn -0.069 0.000 2.334
Mn 1.247 0.000 6.319
Mn 4.017 0.000 1.071
Mn 5.333 0.000 5.056
Tc 1.222 1.437 4.087
Tc 1.895 1.437 1.137
Tc 3.370 1.437 6.253
Tc 4.043 1.437 3.303
B 2.364 0.000 2.781
B 2.901 0.000 4.609
```

Calculated values
For the formation energy, the calculation gives -25 meV/atom. As for the density of states at the Fermi level: 10.65 states/eV/f.u. As for the space group: P2/m.

=====

# 9
MnTcB2: relaxed, PBE.

extended XYZ file:
```
16
Lattice="5.273 0.000 0.000 0.000 5.273 0.000 0.000 0.000 5.273" Properties=species:S:1:pos:R:3 pbc="T T T"
Mn 0.000 0.000 0.000
Mn 0.000 2.636 2.636
Mn 2.636 0.000 2.636
Mn 2.636 2.636 0.000
Tc 0.000 0.000 2.636
Tc 0.000 2.636 0.000
Tc 2.636 0.000 0.000
Tc 2.636 2.636 2.636
B 1.318 1.318 1.318
B 1.318 1.318 3.955
B 1.318 3.955 1.318
B 1.318 3.955 3.955
B 3.955 1.318 1.318
B 3.955 1.318 3.955
B 3.955 3.955 1.318
B 3.955 3.955 3.955
```

Calculated values
For the formation energy, the calculation gives 112 meV/atom. As for the density of states at the Fermi level: 4.83 states/eV/f.u. As for the space group: Fm-3m.

=====

# 10
Mn2TcB6: relaxed, PBE.

extended XYZ file:
```
9
Lattice="5.260 0.000 0.000 -2.630 4.555 0.000 0.000 0.000 3.010" Properties=species:S:1:pos:R:3 pbc="T T T"
Mn 0.000 3.037 0.000
Mn 2.630 1.518 0.000
Tc 0.000 0.000 0.000
B -0.891 1.543 1.505
B -1.739 3.013 1.505
B 1.781 0.000 1.505
B 0.891 1.543 1.505
B 3.479 0.000 1.505
B 1.739 3.013 1.505
```

Calculated values
For the formation energy, the calculation gives -189 meV/atom. As for the density of states at the Fermi level: 3.47 states/eV/f.u. As for the space group: P6/mmm.

=====

# 11
Mn5TcB2W2: relaxed, PBE.

extended XYZ file:
```
20
Lattice="8.694 0.000 0.000 0.000 8.694 0.000 0.000 0.000 2.923" Properties=species:S:1:pos:R:3 pbc="T T T"
Mn 0.000 4.347 0.000
Mn 0.605 1.886 0.000
Mn 1.886 8.089 0.000
Mn 2.461 3.742 0.000
Mn 3.742 6.233 0.000
Mn 4.347 0.000 0.000
Mn 4.951 2.461 0.000
Mn 6.233 4.951 0.000
Mn 6.807 0.605 0.000
Mn 8.089 6.807 0.000
Tc 0.000 0.000 1.462
Tc 4.347 4.347 1.462
B 1.047 3.300 1.462
B 3.300 7.647 1.462
B 5.393 1.047 1.462
B 7.647 5.393 1.462
W 1.532 5.879 1.462
W 2.815 1.532 1.462
W 5.879 7.162 1.462
W 7.162 2.815 1.462
```

Calculated values
For the formation energy, the calculation gives -217 meV/atom. As for the density of states at the Fermi level: 6.11 states/eV/f.u. As for the space group: P4/mbm.

=====

Question: Look up the density of states at the Fermi level of the fourth one.
Answer: 4.44 states/eV/f.u.

=====

Question: What is the density of states at the Fermi level in the eighth record?
Answer: 10.65 states/eV/f.u.

=====

Question: Among the records above, which one has the lowest density of states at the Fermi level?
Answer: number 6